Material: LiSb3
Method: DFT, PBE
State: optimized geometry

Cell and atoms, written as extended XYZ:
```
4
Lattice="2.0961 -2.3955 0.0000 2.0961 2.3955 0.0000 0.0000 0.0000 9.7038" Properties=species:S:1:pos:R:3 pbc="T T T"
Li 0.0000 0.0000 0.0000
Sb 0.0000 0.0000 4.8519
Sb 2.0961 0.0000 2.0482
Sb 2.0961 0.0000 7.6555
```

Calculated values
Crystal system ... orthorhombic
Magnetic moment ... 0.000 μB/f.u.
DOS at the Fermi energy ... 0.752 states/eV/cell
ΔE_f (raw) ... -0.84 kcal/mol of atoms